The following is a PBE calculation of ErTh2PaC4 after structural relaxation, from Alexandria.

```
ErTh2PaC4
1.0
6.3407 0.0000 0.0000
0.0000 3.6976 0.0000
-2.1041 0.0000 6.0261
Er Th Pa C
1 2 1 4
Direct
0.0000 0.0000 0.0000
0.0000 0.5000 0.5000
0.5000 0.0000 0.5000
0.5000 0.5000 0.0000
0.2597 0.5000 0.2388
0.2634 0.0000 0.7661
0.7366 0.0000 0.2339
0.7403 0.5000 0.7612
```

Spin magnetization = 0.00 μB/f.u.
Mass density = 10.70 g cm⁻³
E_form = -0.308 eV/atom
DFT total energy = -68.3 eV/cell